No. 1
Tl2HgSb: optimized geometry, GGA-PBEsol.

```
Tl2HgSb
1.0
5.3691 0.0000 0.0000
2.6845 4.6498 0.0000
2.6845 1.5499 4.3838
Sb Hg Tl
1 1 2
direct
0.0000 0.0000 0.0000 Sb
0.5000 0.5000 0.5000 Hg
0.7500 0.7500 0.7500 Tl
0.2500 0.2500 0.2500 Tl
```



No. 2
Ti3Co20B6: optimized geometry, GGA-PBEsol.

```
Ti3Co20B6
1.0
-2.4645 -3.7907 5.7470
3.3970 -6.1392 2.0594
3.8533 -0.1384 6.2132
Co B Ti
20 6 3
direct
0.0000 0.3422 0.6578 Co
0.6578 0.0000 0.0000 Co
0.6175 0.6175 0.6175 Co
0.0000 0.0000 0.3422 Co
0.1474 0.6175 0.6175 Co
0.0000 0.6578 0.0000 Co
0.6578 0.0000 0.3422 Co
0.6175 0.1474 0.6175 Co
0.0000 0.3422 0.0000 Co
0.3422 0.6578 0.0000 Co
0.6578 0.3422 0.0000 Co
0.3422 0.0000 0.6578 Co
0.8526 0.3825 0.3825 Co
0.6175 0.6175 0.1474 Co
0.3825 0.3825 0.8526 Co
0.0000 0.0000 0.6578 Co
0.3825 0.8526 0.3825 Co
0.3422 0.0000 0.0000 Co
0.3825 0.3825 0.3825 Co
0.0000 0.6578 0.3422 Co
0.7287 0.2713 0.2713 B
0.7287 0.2713 0.7287 B
0.2713 0.2713 0.7287 B
0.2713 0.7287 0.2713 B
0.7287 0.7287 0.2713 B
0.2713 0.7287 0.7287 B
0.7500 0.7500 0.7500 Ti
0.0000 0.0000 0.0000 Ti
0.2500 0.2500 0.2500 Ti
```

Output
The calculation puts the formation energy at -0.392 eV/atom.



For each record above, in turn, the calculated size of the total moment values are 0.00, 0.50 μB per atom.
For each record above, in turn, the calculated DFT total energy values are -2.600, -8.041 eV/atom.